[1]
Compound: PrThAg
Source: Alexandria via LeMat-Bulk
Functional: PBE
Structure: optimized geometry

Calculated values
ΔE_f in eV/atom: 0.11

abc: 5.199 5.199 3.584
angles: 90.00 90.00 120.00
Fractional coordinates of all 3 atoms:
Pr1 0.000 0.000 0.000
Th1 0.333 0.667 0.381
Ag1 0.667 0.333 0.653


[2]
Compound: Ac8Ni5
Source: Alexandria via LeMat-Bulk
Functional: PBE
Structure: optimized geometry

Calculated values
ΔE_f in eV/atom: -0.17

abc: 8.039 8.039 10.095
angles: 124.71 124.71 64.50
Fractional coordinates of all 13 atoms:
Ac1 0.197 0.197 0.170
Ac2 0.204 0.703 0.665
Ac3 0.294 0.294 0.832
Ac4 0.297 0.796 0.335
Ac5 0.703 0.204 0.665
Ac6 0.706 0.706 0.168
Ac7 0.796 0.297 0.335
Ac8 0.803 0.803 0.830
Ni1 0.000 0.000 0.500
Ni2 0.245 0.245 0.501
Ni3 0.250 0.750 0.000
Ni4 0.750 0.250 0.000
Ni5 0.755 0.755 0.499


[3]
Compound: Pd3PbW
Source: Alexandria via LeMat-Bulk
Functional: PBE
Structure: optimized geometry

Calculated values
ΔE_f in eV/atom: 0.87

abc: 4.886 4.886 4.886
angles: 90.00 90.00 90.00
Fractional coordinates of all 5 atoms:
Pd1 0.000 0.000 0.500
Pd2 0.000 0.500 0.000
Pd3 0.500 0.000 0.000
Pb1 0.500 0.500 0.500
W1 0.000 0.000 0.000


[4]
Compound: ZrCoP2
Source: Alexandria via LeMat-Bulk
Functional: PBE
Structure: optimized geometry

Calculated values
ΔE_f in eV/atom: -0.47

abc: 4.244 4.244 3.213
angles: 90.00 90.00 90.00
Fractional coordinates of all 4 atoms:
Zr1 0.000 0.000 0.000
Co1 0.500 0.500 0.000
P1 0.000 0.500 0.500
P2 0.500 0.000 0.500


[5]
Compound: BaUInO6
Source: Alexandria via LeMat-Bulk
Functional: PBE
Structure: optimized geometry

Calculated values
Energy relative to the elements, uncorrected in meV/atom: -2374

abc: 5.688 5.688 5.759
angles: 90.00 90.00 120.00
Fractional coordinates of all 9 atoms:
Ba1 0.000 0.000 0.000
U1 0.667 0.333 0.500
In1 0.333 0.667 0.500
O1 0.380 0.016 0.701
O2 0.380 0.364 0.299
O3 0.636 0.016 0.299
O4 0.636 0.620 0.701
O5 0.984 0.364 0.701
O6 0.984 0.620 0.299


[6]
Compound: Li2Y2Ga3
Source: Alexandria via LeMat-Bulk
Functional: PBE
Structure: optimized geometry

Calculated values
ΔE_f in eV/atom: -0.45

abc: 9.751 9.751 7.062
angles: 90.00 90.00 154.70
Fractional coordinates of all 14 atoms:
Li1 0.188 0.812 0.560
Li2 0.188 0.812 0.940
Li3 0.812 0.188 0.060
Li4 0.812 0.188 0.440
Y1 0.347 0.653 0.750
Y2 0.447 0.553 0.250
Y3 0.553 0.447 0.750
Y4 0.653 0.347 0.250
Ga1 0.060 0.940 0.070
Ga2 0.060 0.940 0.430
Ga3 0.275 0.725 0.250
Ga4 0.725 0.275 0.750
Ga5 0.940 0.060 0.570
Ga6 0.940 0.060 0.930


Number 1: density of states at the Fermi level 2.8 states/eV per cell. Number 2: density of states at the Fermi level 10.7 states/eV per cell. Number 3: density of states at the Fermi level 5.0 states/eV per cell. Number 4: density of states at the Fermi level 2.9 states/eV per cell. Number 5: density of states at the Fermi level 8.9 states/eV per cell. Number 6: density of states at the Fermi level 13.7 states/eV per cell.